1.
First-principles (PBE) data for a relaxed Si2PdPt3 crystal, as listed in Alexandria via LeMat-Bulk.

Properties
Formation energy (no corrections), meV per atom: -690
Total energy, eV/atom: -6.383
Crystal system: orthorhombic
Space group: Pmc2_1

a = 3.7573 Å, b = 7.3834 Å, c = 6.4344 Å
α = 90.00°, β = 90.00°, γ = 90.00°
Fractional coordinates of all 12 atoms:
Si 0.0000 0.1306 0.0000
Si 0.0000 0.8694 0.5000
Si 0.5000 0.3671 0.5062
Si 0.5000 0.6329 0.0062
Pd 0.5000 0.0878 0.2904
Pd 0.5000 0.9122 0.7904
Pt 0.0000 0.1722 0.6199
Pt 0.0000 0.3941 0.2291
Pt 0.0000 0.6059 0.7291
Pt 0.0000 0.8278 0.1199
Pt 0.5000 0.3307 0.8917
Pt 0.5000 0.6693 0.3917

2.
First-principles (PBE) data for a relaxed Si2Pd2Pt crystal, as listed in Alexandria via LeMat-Bulk.

Properties
Formation energy (no corrections), meV per atom: -515
Total energy, eV/atom: -5.969
ΔE to the lowest computed polymorph, meV per atom: 59
Crystal system: tetragonal
Space group: P4/mbm

a = 6.4543 Å, b = 6.4543 Å, c = 3.5088 Å
α = 90.00°, β = 90.00°, γ = 90.00°
Fractional coordinates of all 10 atoms:
Si 0.1406 0.3594 0.0000
Si 0.3594 0.8594 0.0000
Si 0.6406 0.1406 0.0000
Si 0.8594 0.6406 0.0000
Pd 0.1532 0.6532 0.5000
Pd 0.3468 0.1532 0.5000
Pd 0.6532 0.8468 0.5000
Pd 0.8468 0.3468 0.5000
Pt 0.0000 0.0000 0.0000
Pt 0.5000 0.5000 0.0000

3.
First-principles (PBE) data for a relaxed Si2PdPt crystal, as listed in Alexandria via LeMat-Bulk.

Properties
Formation energy (no corrections), meV per atom: -279
Total energy, eV/atom: -5.799
ΔE to the lowest computed polymorph, meV per atom: 94
Crystal system: cubic
Space group: Fm-3m

a = 4.3373 Å, b = 4.3373 Å, c = 4.3373 Å
α = 60.00°, β = 60.00°, γ = 60.00°
Fractional coordinates of all 4 atoms:
Si 0.2500 0.2500 0.2500
Si 0.7500 0.7500 0.7500
Pd 0.0000 0.0000 0.0000
Pt 0.5000 0.5000 0.5000

4.
First-principles (PBE) data for a relaxed Si2Pd3Pt crystal, as listed in Alexandria via LeMat-Bulk.

Properties
Formation energy (no corrections), meV per atom: -662
Total energy, eV/atom: -6.073
Crystal system: orthorhombic
Space group: Pmc2_1

a = 3.7144 Å, b = 7.4167 Å, c = 6.3593 Å
α = 90.00°, β = 90.00°, γ = 90.00°
Fractional coordinates of all 12 atoms:
Si 0.0000 0.1263 0.0000
Si 0.0000 0.8737 0.5000
Si 0.5000 0.3734 0.4969
Si 0.5000 0.6266 0.9969
Pd 0.0000 0.1761 0.6107
Pd 0.0000 0.4138 0.2117
Pd 0.0000 0.5862 0.7117
Pd 0.0000 0.8239 0.1107
Pd 0.5000 0.3230 0.8832
Pd 0.5000 0.6770 0.3832
Pt 0.5000 0.1000 0.2741
Pt 0.5000 0.9000 0.7741

5.
First-principles (PBE) data for a relaxed SiPdPt3 crystal, as listed in Alexandria via LeMat-Bulk.

Properties
Formation energy (no corrections), meV per atom: 271
Total energy, eV/atom: -5.476
ΔE to the lowest computed polymorph, meV per atom: 667
Crystal system: cubic
Space group: Pm-3m

a = 4.4891 Å, b = 4.4891 Å, c = 4.4891 Å
α = 90.00°, β = 90.00°, γ = 90.00°
Fractional coordinates of all 5 atoms:
Si 0.0000 0.0000 0.0000
Pd 0.5000 0.5000 0.5000
Pt 0.0000 0.0000 0.5000
Pt 0.0000 0.5000 0.0000
Pt 0.5000 0.0000 0.0000

6.
First-principles (PBE) data for a relaxed Si2Pd2Pt3 crystal, as listed in Alexandria via LeMat-Bulk.

Properties
Formation energy (no corrections), meV per atom: -553
Total energy, eV/atom: -6.175
Crystal system: monoclinic
Space group: C2/m

a = 4.8891 Å, b = 4.8891 Å, c = 6.8475 Å
α = 109.21°, β = 109.21°, γ = 43.79°
Fractional coordinates of all 7 atoms:
Si 0.1656 0.1656 0.2219
Si 0.8344 0.8344 0.7781
Pd 0.1541 0.1541 0.8075
Pd 0.8459 0.8459 0.1925
Pt 0.3794 0.3794 0.5656
Pt 0.5000 0.5000 0.0000
Pt 0.6206 0.6206 0.4344

7.
First-principles (PBE) data for a relaxed SiPd2Pt crystal, as listed in Alexandria via LeMat-Bulk.

Properties
Formation energy (no corrections), meV per atom: -484
Total energy, eV/atom: -5.946
Crystal system: monoclinic
Space group: C2

a = 4.8218 Å, b = 4.8218 Å, c = 3.3704 Å
α = 110.29°, β = 110.29°, γ = 59.74°
Fractional coordinates of all 4 atoms:
Si 0.0000 0.0000 0.0000
Pd 0.3727 0.0239 0.6965
Pd 0.9761 0.6273 0.3035
Pt 0.6561 0.3439 0.5000

8.
First-principles (PBE) data for a relaxed Si2Pd3Pt5 crystal, as listed in Alexandria via LeMat-Bulk.

Properties
Formation energy (no corrections), meV per atom: -276
Total energy, eV/atom: -5.938
Crystal system: orthorhombic
Space group: Ibam

a = 8.2726 Å, b = 8.2726 Å, c = 8.2726 Å
α = 97.72°, β = 94.89°, γ = 141.31°
Fractional coordinates of all 20 atoms:
Si 0.1255 0.1374 0.2629
Si 0.3745 0.6374 0.0119
Si 0.6255 0.3626 0.9881
Si 0.8745 0.8626 0.7371
Pd 0.2291 0.3559 0.5850
Pd 0.2500 0.2500 0.0000
Pd 0.2709 0.8559 0.1268
Pd 0.7291 0.1441 0.8732
Pd 0.7500 0.7500 0.0000
Pd 0.7709 0.6441 0.4150
Pt 0.1776 0.6097 0.7874
Pt 0.2500 0.5051 0.2551
Pt 0.2500 0.7500 0.5000
Pt 0.2500 0.9949 0.7449
Pt 0.3224 0.1097 0.4321
Pt 0.6776 0.8903 0.5679
Pt 0.7500 0.0051 0.2551
Pt 0.7500 0.2500 0.5000
Pt 0.7500 0.4949 0.7449
Pt 0.8224 0.3903 0.2126

9.
First-principles (PBE) data for a relaxed SiPd8Pt2 crystal, as listed in Alexandria via LeMat-Bulk.

Properties
Formation energy (no corrections), meV per atom: 41
Total energy, eV/atom: -5.327
Crystal system: monoclinic
Space group: C2/m

a = 6.5207 Å, b = 6.5207 Å, c = 4.8056 Å
α = 104.44°, β = 104.44°, γ = 81.93°
Fractional coordinates of all 11 atoms:
Si 0.0000 0.0000 0.0000
Pd 0.1545 0.6879 0.1939
Pd 0.2724 0.2724 0.0922
Pd 0.3121 0.8455 0.8061
Pd 0.4234 0.4234 0.6979
Pd 0.5766 0.5766 0.3021
Pd 0.6879 0.1545 0.1939
Pd 0.7276 0.7276 0.9078
Pd 0.8455 0.3121 0.8061
Pt 0.1399 0.1399 0.4935
Pt 0.8601 0.8601 0.5065

10.
First-principles (PBE) data for a relaxed SiPdPt4 crystal, as listed in Alexandria via LeMat-Bulk.

Properties
Formation energy (no corrections), meV per atom: -244
Total energy, eV/atom: -6.040
Crystal system: monoclinic
Space group: C2/c

a = 6.9523 Å, b = 6.9523 Å, c = 6.9053 Å
α = 103.04°, β = 103.04°, γ = 37.11°
Fractional coordinates of all 12 atoms:
Si 0.0000 0.5000 0.0000
Si 0.5000 0.0000 0.5000
Pd 0.1877 0.8123 0.7500
Pd 0.8123 0.1877 0.2500
Pt 0.0312 0.5954 0.3622
Pt 0.2351 0.6209 0.0651
Pt 0.3791 0.7649 0.4349
Pt 0.4046 0.9688 0.1378
Pt 0.5954 0.0312 0.8622
Pt 0.6209 0.2351 0.5651
Pt 0.7649 0.3791 0.9349
Pt 0.9688 0.4046 0.6378

11.
First-principles (PBE) data for a relaxed Si4Pd5Pt4 crystal, as listed in Alexandria via LeMat-Bulk.

Properties
Formation energy (no corrections), meV per atom: -611
Total energy, eV/atom: -6.135
Crystal system: tetragonal
Space group: I4/m

a = 7.2927 Å, b = 7.2927 Å, c = 7.2927 Å
α = 94.06°, β = 94.06°, γ = 149.12°
Fractional coordinates of all 13 atoms:
Si 0.0790 0.7587 0.8377
Si 0.2413 0.0790 0.3203
Si 0.7587 0.9210 0.6797
Si 0.9210 0.2413 0.1623
Pd 0.0000 0.0000 0.0000
Pd 0.3141 0.6188 0.9329
Pd 0.3812 0.3141 0.6953
Pd 0.6188 0.6859 0.3047
Pd 0.6859 0.3812 0.0671
Pt 0.1124 0.3970 0.5094
Pt 0.3970 0.8876 0.2846
Pt 0.6030 0.1124 0.7154
Pt 0.8876 0.6030 0.4906

12.
First-principles (PBE) data for a relaxed Sm2SiPd2Pt4 crystal, as listed in Alexandria via LeMat-Bulk.

Properties
Formation energy (no corrections), meV per atom: -961
Total energy, eV/atom: -6.451
Crystal system: tetragonal
Space group: I4/mmm

a = 6.1696 Å, b = 6.1696 Å, c = 6.1696 Å
α = 119.74°, β = 119.74°, γ = 90.46°
Fractional coordinates of all 9 atoms:
Sm 0.2500 0.7500 0.5000
Sm 0.7500 0.2500 0.5000
Si 0.0000 0.0000 0.0000
Pd 0.2728 0.2728 0.0000
Pd 0.7272 0.7272 0.0000
Pt 0.2683 0.2683 0.5367
Pt 0.2683 0.7317 0.0000
Pt 0.7317 0.2683 0.0000
Pt 0.7317 0.7317 0.4633

13.
First-principles (PBE) data for a relaxed Sm2Si4Pd3Pt crystal, as listed in Alexandria via LeMat-Bulk.

Properties
Formation energy (no corrections), meV per atom: -944
Total energy, eV/atom: -6.219
Crystal system: tetragonal
Space group: P-4m2

a = 4.2250 Å, b = 4.2250 Å, c = 9.9383 Å
α = 90.00°, β = 90.00°, γ = 90.00°
Fractional coordinates of all 10 atoms:
Sm 0.0000 0.5000 0.2457
Sm 0.5000 0.0000 0.7543
Si 0.0000 0.0000 0.0000
Si 0.0000 0.5000 0.6317
Si 0.5000 0.0000 0.3683
Si 0.5000 0.5000 0.0000
Pd 0.0000 0.5000 0.8762
Pd 0.5000 0.0000 0.1238
Pd 0.5000 0.5000 0.5000
Pt 0.0000 0.0000 0.5000

14.
First-principles (PBE) data for a relaxed SmSi2PdPt5 crystal, as listed in Alexandria via LeMat-Bulk.

Properties
Formation energy (no corrections), meV per atom: -556
Total energy, eV/atom: -6.218
Crystal system: tetragonal
Space group: P4/mmm

a = 4.0619 Å, b = 4.0619 Å, c = 10.6891 Å
α = 90.00°, β = 90.00°, γ = 90.00°
Fractional coordinates of all 9 atoms:
Sm 0.0000 0.0000 0.0000
Si 0.5000 0.5000 0.2193
Si 0.5000 0.5000 0.7807
Pd 0.0000 0.0000 0.5000
Pt 0.0000 0.5000 0.3295
Pt 0.0000 0.5000 0.6705
Pt 0.5000 0.0000 0.3295
Pt 0.5000 0.0000 0.6705
Pt 0.5000 0.5000 0.0000

15.
First-principles (PBE) data for a relaxed Sm2SiPd4Pt2 crystal, as listed in Alexandria via LeMat-Bulk.

Properties
Formation energy (no corrections), meV per atom: -918
Total energy, eV/atom: -6.220
Crystal system: tetragonal
Space group: I4/mmm

a = 6.1816 Å, b = 6.1816 Å, c = 6.1816 Å
α = 120.26°, β = 120.26°, γ = 89.54°
Fractional coordinates of all 9 atoms:
Sm 0.2500 0.7500 0.5000
Sm 0.7500 0.2500 0.5000
Si 0.0000 0.0000 0.0000
Pd 0.2719 0.2719 0.5438
Pd 0.2719 0.7281 0.0000
Pd 0.7281 0.2719 0.0000
Pd 0.7281 0.7281 0.4562
Pt 0.2660 0.2660 0.0000
Pt 0.7340 0.7340 0.0000

16.
First-principles (PBE) data for a relaxed Sm3Si6PdPt2 crystal, as listed in Alexandria via LeMat-Bulk.

Properties
Formation energy (no corrections), meV per atom: -507
Total energy, eV/atom: -5.838
Crystal system: trigonal
Space group: P-3m1

a = 5.7356 Å, b = 5.7356 Å, c = 8.1472 Å
α = 90.00°, β = 90.00°, γ = 120.00°
Fractional coordinates of all 12 atoms:
Sm 0.0000 0.0000 0.0000
Sm 0.3333 0.6667 0.6270
Sm 0.6667 0.3333 0.3730
Si 0.1905 0.3811 0.2896
Si 0.1905 0.8095 0.2896
Si 0.3811 0.1905 0.7104
Si 0.6189 0.8095 0.2896
Si 0.8095 0.1905 0.7104
Si 0.8095 0.6189 0.7104
Pd 0.0000 0.0000 0.5000
Pt 0.3333 0.6667 0.0405
Pt 0.6667 0.3333 0.9595

17.
First-principles (PBE) data for a relaxed Sm2Si4PdPt3 crystal, as listed in Alexandria via LeMat-Bulk.

Properties
Formation energy (no corrections), meV per atom: -1088
Total energy, eV/atom: -6.533
Crystal system: tetragonal
Space group: P-4m2

a = 4.2472 Å, b = 4.2472 Å, c = 9.8444 Å
α = 90.00°, β = 90.00°, γ = 90.00°
Fractional coordinates of all 10 atoms:
Sm 0.0000 0.5000 0.2459
Sm 0.5000 0.0000 0.7541
Si 0.0000 0.0000 0.0000
Si 0.0000 0.5000 0.6322
Si 0.5000 0.0000 0.3678
Si 0.5000 0.5000 0.0000
Pd 0.0000 0.0000 0.5000
Pt 0.0000 0.5000 0.8781
Pt 0.5000 0.0000 0.1219
Pt 0.5000 0.5000 0.5000

18.
First-principles (PBE) data for a relaxed Sm2Si3PdPt4 crystal, as listed in Alexandria via LeMat-Bulk.

Properties
Formation energy (no corrections), meV per atom: -991
Total energy, eV/atom: -6.497
Crystal system: tetragonal
Space group: P-4m2

a = 4.2051 Å, b = 4.2051 Å, c = 10.3519 Å
α = 90.00°, β = 90.00°, γ = 90.00°
Fractional coordinates of all 10 atoms:
Sm 0.0000 0.5000 0.2428
Sm 0.5000 0.0000 0.7572
Si 0.0000 0.0000 0.0000
Si 0.0000 0.5000 0.6254
Si 0.5000 0.0000 0.3746
Pd 0.5000 0.5000 0.0000
Pt 0.0000 0.0000 0.5000
Pt 0.0000 0.5000 0.8497
Pt 0.5000 0.0000 0.1503
Pt 0.5000 0.5000 0.5000

19.
First-principles (PBE) data for a relaxed Sm2Si3PdPt12 crystal, as listed in Alexandria via LeMat-Bulk.

Properties
Formation energy (no corrections), meV per atom: -422
Total energy, eV/atom: -6.166
Crystal system: trigonal
Space group: R-3m

a = 7.6539 Å, b = 7.6539 Å, c = 7.6539 Å
α = 65.32°, β = 65.32°, γ = 65.32°
Fractional coordinates of all 18 atoms:
Sm 0.1103 0.1103 0.1103
Sm 0.8897 0.8897 0.8897
Si 0.0000 0.5000 0.5000
Si 0.5000 0.0000 0.5000
Si 0.5000 0.5000 0.0000
Pd 0.5000 0.5000 0.5000
Pt 0.1174 0.6347 0.6347
Pt 0.1452 0.1452 0.6031
Pt 0.1452 0.6031 0.1452
Pt 0.3653 0.3653 0.8826
Pt 0.3653 0.8826 0.3653
Pt 0.3969 0.8548 0.8548
Pt 0.6031 0.1452 0.1452
Pt 0.6347 0.1174 0.6347
Pt 0.6347 0.6347 0.1174
Pt 0.8548 0.3969 0.8548
Pt 0.8548 0.8548 0.3969
Pt 0.8826 0.3653 0.3653

20.
First-principles (PBE) data for a relaxed Sm3Si2PdPt9 crystal, as listed in Alexandria via LeMat-Bulk.

Properties
Formation energy (no corrections), meV per atom: -785
Total energy, eV/atom: -6.423
Crystal system: trigonal
Space group: P-3m1

a = 5.6573 Å, b = 5.6573 Å, c = 11.0975 Å
α = 90.00°, β = 90.00°, γ = 120.00°
Fractional coordinates of all 15 atoms:
Sm 0.0000 0.0000 0.0000
Sm 0.3333 0.6667 0.5825
Sm 0.6667 0.3333 0.4175
Si 0.3333 0.6667 0.1600
Si 0.6667 0.3333 0.8400
Pd 0.0000 0.0000 0.5000
Pt 0.0000 0.5000 0.0000
Pt 0.1626 0.3252 0.3080
Pt 0.1626 0.8374 0.3080
Pt 0.3252 0.1626 0.6920
Pt 0.5000 0.0000 0.0000
Pt 0.5000 0.5000 0.0000
Pt 0.6748 0.8374 0.3080
Pt 0.8374 0.1626 0.6920
Pt 0.8374 0.6748 0.6920

21.
First-principles (PBE) data for a relaxed Sm2SiPdPt6 crystal, as listed in Alexandria via LeMat-Bulk.

Properties
Formation energy (no corrections), meV per atom: -797
Total energy, eV/atom: -6.427
Crystal system: triclinic
Space group: P-1

a = 5.4146 Å, b = 6.4073 Å, c = 6.8382 Å
α = 80.86°, β = 66.71°, γ = 65.01°
Fractional coordinates of all 10 atoms:
Sm 0.0299 0.2432 0.1972
Sm 0.9701 0.7568 0.8028
Si 0.5000 0.0000 0.5000
Pd 0.5000 0.5000 0.0000
Pt 0.0173 0.2122 0.7453
Pt 0.3424 0.4067 0.4105
Pt 0.4758 0.7884 0.2535
Pt 0.5242 0.2116 0.7465
Pt 0.6576 0.5933 0.5895
Pt 0.9827 0.7878 0.2547

22.
First-principles (PBE) data for a relaxed Si2SnPdPt crystal, as listed in Alexandria via LeMat-Bulk.

Properties
Formation energy (no corrections), meV per atom: 386
Total energy, eV/atom: -4.831
Crystal system: tetragonal
Space group: P4/mmm

a = 4.4989 Å, b = 4.4989 Å, c = 5.2643 Å
α = 90.00°, β = 90.00°, γ = 90.00°
Fractional coordinates of all 5 atoms:
Si 0.0000 0.5000 0.0000
Si 0.5000 0.0000 0.0000
Sn 0.0000 0.0000 0.5000
Pd 0.5000 0.5000 0.0000
Pt 0.5000 0.5000 0.5000